1.
First-principles (PBE) data for crystalline Cs2SeI5 at its relaxed geometry, as listed in the Alexandria database.

Cell lengths 8.6316, 8.6316, 8.2258 Å; angles 121.64, 121.64, 90.00 degrees
Atoms (fractional coordinates):
Cs (0.7591, 0.2591, 0.5182)
Cs (0.2591, 0.7591, 0.5182)
I (0.2445, 0.2445, 0.0263)
I (0.7118, 0.7118, 0.4236)
I (0.2445, 0.7817, 0.0263)
I (0.7818, 0.7818, 0.0263)
I (0.7818, 0.2445, 0.0263)
Se (0.9944, 0.9944, 0.9887)

Results
Formation energy without anion corrections ... -0.74 eV per atom
Calculated volume ... 51.36 Å³ per atom
Crystal system ... tetragonal
Fermi-level density of states ... 0.48 states/eV per cell
SG ... I4mm, No. 107

=====

2.
First-principles (PBE) data for crystalline InCuN3 at its relaxed geometry, as listed in the Alexandria database.

Cell lengths 4.1476, 4.1476, 4.1476 Å; angles 90.00, 90.00, 90.00 degrees
Atoms (fractional coordinates):
N (0.5000, 0.0000, 0.0000)
N (0.0000, 0.5000, 0.0000)
N (0.0000, 0.0000, 0.5000)
Cu (0.5000, 0.5000, 0.5000)
In (0.0000, 0.0000, 0.0000)

Results
Formation energy without anion corrections ... 2.45 eV per atom
Calculated volume ... 14.27 Å³ per atom
Crystal system ... cubic
Fermi-level density of states ... 12.61 states/eV per cell
SG ... Pm-3m, No. 221

=====

3.
First-principles (PBE) data for crystalline KAl at its relaxed geometry, as listed in the Alexandria database.

Cell lengths 9.8040, 9.8040, 9.8040 Å; angles 90.00, 90.00, 90.00 degrees
Atoms (fractional coordinates):
Al (0.5000, 0.7500, 0.0000)
Al (0.0000, 0.5000, 0.7500)
Al (0.2500, 0.0000, 0.5000)
Al (0.0000, 0.5000, 0.2500)
Al (0.5000, 0.2500, 0.0000)
Al (0.7500, 0.0000, 0.5000)
K (0.0000, 0.2500, 0.5000)
K (0.7500, 0.5000, 0.0000)
K (0.5000, 0.0000, 0.7500)
K (0.0000, 0.7500, 0.5000)
K (0.5000, 0.0000, 0.2500)
K (0.2500, 0.5000, 0.0000)

Results
Polymorph energy (0 for the lowest one) ... 1045 meV/atom
Calculated volume ... 78.53 Å³ per atom
Crystal system ... cubic
Fermi-level density of states ... 17.00 states/eV per cell
Energy of formation from the pure elements ... 1.16 eV per atom
SG ... Pm-3n, No. 223

=====

4.
First-principles (PBE) data for crystalline YbTmRh2 at its relaxed geometry, as listed in the Alexandria database.

Cell lengths 4.7847, 4.7847, 4.7847 Å; angles 60.00, 60.00, 60.00 degrees
Atoms (fractional coordinates):
Rh (0.7500, 0.7500, 0.7500)
Rh (0.2500, 0.2500, 0.2500)
Tm (0.5000, 0.5000, 0.5000)
Yb (0.0000, 0.0000, 0.0000)

Results
Calculated volume ... 19.36 Å³ per atom
Crystal system ... cubic
Fermi-level density of states ... 14.27 states/eV per cell
Energy of formation from the pure elements ... -0.78 eV per atom
SG ... Fm-3m, No. 225

=====

5.
First-principles (PBE) data for crystalline Cd2TcOs at its relaxed geometry, as listed in the Alexandria database.

Cell lengths 2.7890, 4.5014, 5.4635 Å; angles 90.00, 90.00, 90.00 degrees
Atoms (fractional coordinates):
Cd (0.0000, 0.0000, 0.0001)
Cd (0.0000, 0.0000, 0.4999)
Os (0.5000, 0.5000, 0.2500)
Tc (0.5000, 0.5000, 0.7500)

Results
Polymorph energy (0 for the lowest one) ... 572 meV/atom
Calculated volume ... 17.15 Å³ per atom
Crystal system ... orthorhombic
Fermi-level density of states ... 4.77 states/eV per cell
Energy of formation from the pure elements ... 0.73 eV per atom
SG ... Pmmm, No. 47

=====

6.
First-principles (PBE) data for crystalline AlAg4P at its relaxed geometry, as listed in the Alexandria database.

Cell lengths 5.4419, 5.4419, 5.4419 Å; angles 60.00, 60.00, 60.00 degrees
Atoms (fractional coordinates):
Ag (0.3752, 0.3752, 0.3752)
Ag (0.3752, 0.3752, 0.8745)
Ag (0.8745, 0.3752, 0.3752)
Ag (0.3752, 0.8745, 0.3752)
P (0.0000, 0.0000, 0.0000)
Al (0.7500, 0.7500, 0.7500)

Results
Calculated volume ... 18.99 Å³ per atom
Crystal system ... cubic
Fermi-level density of states ... 2.07 states/eV per cell
Energy of formation from the pure elements ... 0.37 eV per atom
SG ... F-43m, No. 216

=====

7.
First-principles (PBE) data for crystalline TiZnBr at its relaxed geometry, as listed in the Alexandria database.

Cell lengths 3.2749, 3.2753, 14.4092 Å; angles 90.00, 90.00, 120.00 degrees
Atoms (fractional coordinates):
Zn (0.5921, 0.1841, 0.0000)
Zn (0.2817, 0.5634, 0.5000)
Ti (0.6149, 0.2297, 0.6398)
Ti (0.6149, 0.2297, 0.3602)
Br (0.2816, 0.5631, 0.2370)
Br (0.2816, 0.5631, 0.7630)

Results
Formation energy without anion corrections ... -0.31 eV per atom
Calculated volume ... 22.31 Å³ per atom
Crystal system ... orthorhombic
Fermi-level density of states ... 3.08 states/eV per cell
SG ... Amm2, No. 38

=====

8.
First-principles (PBE) data for crystalline YCdAs2 at its relaxed geometry, as listed in the Alexandria database.

Cell lengths 8.4308, 8.4308, 8.4308 Å; angles 25.43, 25.43, 25.43 degrees
Atoms (fractional coordinates):
Y (0.7418, 0.7418, 0.7418)
As (0.9917, 0.9917, 0.9917)
As (0.2588, 0.2588, 0.2588)
Cd (0.5076, 0.5076, 0.5076)

Results
Calculated volume ... 24.31 Å³ per atom
Crystal system ... trigonal
Fermi-level density of states ... 2.44 states/eV per cell
Energy of formation from the pure elements ... -0.13 eV per atom
SG ... R3m, No. 160

=====

9.
First-principles (PBE) data for crystalline ZrAl2TlRh at its relaxed geometry, as listed in the Alexandria database.

Cell lengths 4.9188, 4.9443, 4.9188 Å; angles 90.00, 90.00, 90.00 degrees
Atoms (fractional coordinates):
Zr (0.5000, 0.5000, 0.5000)
Al (0.0000, 0.0000, 0.5000)
Al (0.5000, 0.0000, 0.0000)
Tl (0.0000, 0.0000, 0.0000)
Rh (0.0000, 0.5000, 0.0000)

Results
Calculated volume ... 23.93 Å³ per atom
Crystal system ... tetragonal
Fermi-level density of states ... 5.02 states/eV per cell
Energy of formation from the pure elements ... 1.03 eV per atom
SG ... P4/mmm, No. 123

=====

10.
First-principles (PBE) data for crystalline Ac2TiGe4Au3 at its relaxed geometry, as listed in the Alexandria database.

Cell lengths 4.4874, 4.4874, 11.1018 Å; angles 90.00, 90.00, 90.00 degrees
Atoms (fractional coordinates):
Ge (0.5000, 0.5000, 0.0000)
Ge (0.0000, 0.5000, 0.3692)
Ge (0.5000, 0.0000, 0.6308)
Ge (0.0000, 0.0000, 0.0000)
Au (0.0000, 0.0000, 0.5000)
Au (0.5000, 0.0000, 0.8677)
Au (0.0000, 0.5000, 0.1323)
Ac (0.5000, 0.0000, 0.2431)
Ac (0.0000, 0.5000, 0.7569)
Ti (0.5000, 0.5000, 0.5000)

Results
Calculated volume ... 22.36 Å³ per atom
Crystal system ... tetragonal
Fermi-level density of states ... 4.96 states/eV per cell
Energy of formation from the pure elements ... -0.61 eV per atom
SG ... P-4m2, No. 115